The following is a DFT calculation (PBEsol) of a geometry-optimized BeIN2F structure. Values from VASP.

Results
Symmetry: P4/mmm
Magnetic moment (μB per atom): 0.00
E_tot (eV/cell): -20.14
Mass density (g/cm3): 4.08
Crystal system: tetragonal
Formation energy (no corrections) (eV per atom): 0.922

```
&SYSTEM
  ibrav = 0, nat = 5, ntyp = 4
/
ATOMIC_SPECIES
I 126.90 I.upf
Be 9.01 Be.upf
N 14.01 N.upf
F 19.00 F.upf
ATOMIC_POSITIONS crystal
I 0.000 0.000 0.500
Be 0.000 0.000 0.000
N 0.000 0.500 0.000
N 0.500 0.000 0.000
F 0.500 0.500 0.500
CELL_PARAMETERS angstrom
-0.451 2.266 2.449
-1.810 -2.242 1.742
5.465 -2.112 2.961
```

---

The following is a DFT calculation (PBEsol) of a geometry-optimized BeTeI2F structure. Values from VASP.

Results
Symmetry: P4/mmm
Magnetic moment (μB per atom): 0.00
E_tot (eV/cell): -12.67
Mass density (g/cm3): 5.53
Crystal system: tetragonal
Formation energy (no corrections) (eV per atom): 0.062

```
&SYSTEM
  ibrav = 0, nat = 5, ntyp = 4
/
ATOMIC_SPECIES
I 126.90 I.upf
Be 9.01 Be.upf
Te 127.60 Te.upf
F 19.00 F.upf
ATOMIC_POSITIONS crystal
I 0.000 0.000 0.500
I 0.000 0.500 0.000
Be 0.000 0.000 0.000
Te 0.500 0.000 0.000
F 0.500 0.500 0.500
CELL_PARAMETERS angstrom
4.829 0.000 0.000
0.000 5.046 0.000
0.000 0.000 5.046
```